VASP calculation (PBE) on a relaxed structure of Nd5In4Au.

* calculated volume: 284 Å³ per cell
* crystal system: tetragonal
* spin magnetization: 0.00 μB/cell
* calculated total energy: -43.54 eV/cell

a = 3.694 Å, b = 3.694 Å, c = 20.832 Å
α = 90.00°, β = 90.00°, γ = 90.00°
Fractional positions:
In  0.000  0.000  0.192
Nd  0.500  0.500  0.910
Au  0.000  0.000  0.000
Nd  0.500  0.500  0.500
In  0.000  0.000  0.808
In  0.000  0.000  0.602
Nd  0.500  0.500  0.705
Nd  0.500  0.500  0.295
Nd  0.500  0.500  0.090
In  0.000  0.000  0.398